Record 1
4
Lattice="1.3695 0.7907 9.0478 -1.3695 0.7907 9.0478 0.0000 -1.5813 9.0478" Properties=species:S:1:pos:R:3 comment="PBE-GGA Tc3Pd, optimized geometry" magmom_total_mub_per_atom=0.000 dos_at_fermi_per_ev_fu=3.22 pbc="T T T"
Tc 0.0000 0.0000 0.0000
Tc 0.0000 0.0000 6.8349
Tc 0.0000 0.0000 20.3085
Pd 0.0000 0.0000 13.5717


Record 2
5
Lattice="1.3864 0.8004 11.3614 -1.3864 0.8004 11.3614 0.0000 -1.6009 11.3614" Properties=species:S:1:pos:R:3 comment="PBE-GGA TcPd4, optimized geometry" magmom_total_mub_per_atom=0.000 dos_at_fermi_per_ev_fu=8.43 pbc="T T T"
Tc 0.0000 0.0000 0.0000
Pd 0.0000 0.0000 6.8391
Pd 0.0000 0.0000 13.5567
Pd 0.0000 0.0000 20.5274
Pd 0.0000 0.0000 27.2451


Record 3
5
Lattice="4.7210 0.0000 0.0000 0.0000 4.7210 0.0000 0.0000 0.0000 4.7210" Properties=species:S:1:pos:R:3 comment="PBE-GGA TcPd4, optimized geometry" magmom_total_mub_per_atom=0.000 dos_at_fermi_per_ev_fu=4.40 pbc="T T T"
Tc 0.0000 0.0000 0.0000
Pd 0.0000 0.0000 2.3605
Pd 0.0000 2.3605 0.0000
Pd 2.3605 0.0000 0.0000
Pd 2.3605 2.3605 2.3605


Number 1: ΔE to the lowest computed polymorph 43 kJ/mol of formula units. Number 2: ΔE to the lowest computed polymorph 0 kJ/mol of formula units. Number 3: ΔE to the lowest computed polymorph 582 kJ/mol of formula units.